TaMoIr2 (GGA-PBE, relaxed); total magnetization = 0.000 Bohr magnetons per cell; ΔE to the lowest computed polymorph = 0.000 eV per atom; SG = P4/mmm, No. 123; energy = -10.568 eV/atom
1.0
3.980 0.000 0.000
0.000 3.980 0.000
0.000 0.000 3.925
Ta Mo Ir
1 1 2
Direct
0.000 0.000 0.000
0.500 0.500 0.000
0.000 0.500 0.500
0.500 0.000 0.500